Entry from the Alexandria database: a relaxed FeCl2 crystal (GGA-PBEsol).

**Magnetization**: 8.00 Bohr magnetons per cell
**ΔE_f (raw)**: -577 meV/atom
**SG**: Cmcm, No. 63

```
FeCl2
1.0
-3.258 0.302 0.882
-1.099 -4.128 -2.644
2.974 -4.684 6.078
Fe Cl
2 4
direct
0.314 0.750 0.628
0.686 0.250 0.372
0.702 0.750 0.404
0.911 0.750 0.822
0.089 0.250 0.178
0.298 0.250 0.596
```